First-principles (PBE) data for KCuOs2 after structural relaxation, as listed in the Alexandria database.

a b c (Å): 2.873 2.873 8.839
angles (deg): 90.00 90.00 90.00
Space group P4mm (No. 99)
Inequivalent atoms, fractional coordinates:
1 K 0.000 0.000 0.000 x1
2 Cu 0.500 0.500 0.696 x1
3 Os 0.000 0.000 0.501 x1
4 Os 0.500 0.500 0.321 x1

Computed properties:
The value obtained for the magnetic moment is 0.5 Bohr magnetons per cell. The total energy comes out at -24.87 eV/cell. The calculation puts the energy above the most stable polymorph in this dataset at 0.000 eV per atom. Its calculated formation energy is 0.696 eV/atom.

First-principles (PBE) data for KCuOs2 after structural relaxation, as listed in the Alexandria database.

a b c (Å): 2.7878 2.7878 30.1940
angles (deg): 90.00 90.00 120.00
Space group R3m (No. 160, hexagonal axes)
Inequivalent atoms, fractional coordinates:
1 K 0.0000 0.0000 0.0000 x3
2 Cu 0.0000 0.0000 0.2397 x3
3 Os 0.0000 0.0000 0.5018 x3
4 Os 0.0000 0.0000 0.7662 x3

Computed properties:
The value obtained for the magnetic moment is 0.0 Bohr magnetons per cell. The total energy comes out at -73.57 eV/cell. The calculation puts the energy above the most stable polymorph in this dataset at 0.086 eV per atom. Its calculated formation energy is 0.782 eV/atom.

First-principles (PBE) data for KCuOs2 after structural relaxation, as listed in the Alexandria database.

a b c (Å): 2.661 4.618 10.887
angles (deg): 90.00 90.00 90.00
Space group Immm (No. 71)
Inequivalent atoms, fractional coordinates:
1 K 0.000 0.000 0.000 x2
2 Cu 0.000 0.000 0.500 x2
3 Os 0.000 0.500 0.217 x4

Computed properties:
The value obtained for the magnetic moment is 0.0 Bohr magnetons per cell. The total energy comes out at -48.29 eV/cell. The calculation puts the energy above the most stable polymorph in this dataset at 0.181 eV per atom. Its calculated formation energy is 0.877 eV/atom.

First-principles (PBE) data for K3CuOs after structural relaxation, as listed in the Alexandria database.

a b c (Å): 6.176 6.176 6.176
angles (deg): 90.00 90.00 90.00
Space group Pm-3m (No. 221)
Inequivalent atoms, fractional coordinates:
1 K 0.000 0.000 0.500 x3
2 Cu 0.500 0.500 0.500 x1
3 Os 0.000 0.000 0.000 x1

Computed properties:
The value obtained for the magnetic moment is 2.0 Bohr magnetons per cell. The total energy comes out at -11.81 eV/cell. The calculation puts the energy above the most stable polymorph in this dataset at 0.000 eV per atom. Its calculated formation energy is 1.361 eV/atom.

First-principles (PBE) data for K2CuOs after structural relaxation, as listed in the Alexandria database.

a b c (Å): 2.727 4.185 10.002
angles (deg): 90.00 90.00 90.00
Space group Pmm2 (No. 25)
Inequivalent atoms, fractional coordinates:
1 K 0.000 0.000 0.000 x1
2 K 0.500 0.500 0.438 x1
3 Cu 0.500 0.500 0.747 x1
4 Os 0.000 0.000 0.688 x1

Computed properties:
The value obtained for the magnetic moment is 0.0 Bohr magnetons per cell. The total energy comes out at -14.30 eV/cell. The calculation puts the energy above the most stable polymorph in this dataset at 0.012 eV per atom. Its calculated formation energy is 0.805 eV/atom.

First-principles (PBE) data for KCu3Os after structural relaxation, as listed in the Alexandria database.

a b c (Å): 4.815 4.815 4.815
angles (deg): 90.00 90.00 90.00
Space group Pm-3m (No. 221)
Inequivalent atoms, fractional coordinates:
1 K 0.000 0.000 0.000 x1
2 Cu 0.000 0.500 0.500 x3
3 Os 0.500 0.500 0.500 x1

Computed properties:
The value obtained for the magnetic moment is 1.6 Bohr magnetons per cell. The total energy comes out at -19.80 eV/cell. The calculation puts the energy above the most stable polymorph in this dataset at 0.000 eV per atom. Its calculated formation energy is 0.963 eV/atom.

First-principles (PBE) data for K2CuOs after structural relaxation, as listed in the Alexandria database.

a b c (Å): 3.379 3.379 10.062
angles (deg): 90.00 90.00 90.00
Space group P4mm (No. 99)
Inequivalent atoms, fractional coordinates:
1 K 0.000 0.000 0.000 x1
2 K 0.500 0.500 0.439 x1
3 Cu 0.500 0.500 0.757 x1
4 Os 0.000 0.000 0.688 x1

Computed properties:
The value obtained for the magnetic moment is 0.0 Bohr magnetons per cell. The total energy comes out at -14.06 eV/cell. The calculation puts the energy above the most stable polymorph in this dataset at 0.072 eV per atom. Its calculated formation energy is 0.866 eV/atom.

First-principles (PBE) data for KCuOs2 after structural relaxation, as listed in the Alexandria database.

a b c (Å): 8.523 2.720 7.131
angles (deg): 90.00 94.30 90.00
Space group Cm (No. 8)
Inequivalent atoms, fractional coordinates:
1 K 0.000 0.000 0.000 x2
2 Cu 0.235 0.000 0.667 x2
3 Os 0.009 0.500 0.483 x2
4 Os 0.266 0.500 0.358 x2

Computed properties:
The value obtained for the magnetic moment is 0.0 Bohr magnetons per cell. The total energy comes out at -49.36 eV/cell. The calculation puts the energy above the most stable polymorph in this dataset at 0.047 eV per atom. Its calculated formation energy is 0.743 eV/atom.

First-principles (PBE) data for KCuOs2 after structural relaxation, as listed in the Alexandria database.

a b c (Å): 2.637 2.637 9.647
angles (deg): 90.00 90.00 90.00
Space group P4/mmm (No. 123)
Inequivalent atoms, fractional coordinates:
1 K 0.000 0.000 0.000 x1
2 Cu 0.000 0.000 0.500 x1
3 Os 0.500 0.500 0.298 x2

Computed properties:
The value obtained for the magnetic moment is 0.0 Bohr magnetons per cell. The total energy comes out at -23.62 eV/cell. The calculation puts the energy above the most stable polymorph in this dataset at 0.311 eV per atom. Its calculated formation energy is 1.007 eV/atom.

First-principles (PBE) data for K2CuOs after structural relaxation, as listed in the Alexandria database.

a b c (Å): 2.8989 2.8989 33.3738
angles (deg): 90.00 90.00 120.00
Space group R-3m (No. 166, hexagonal axes)
Inequivalent atoms, fractional coordinates:
1 K 0.0000 0.0000 0.2492 x6
2 Cu 0.0000 0.0000 0.5000 x3
3 Os 0.0000 0.0000 0.0000 x3

Computed properties:
The value obtained for the magnetic moment is 0.8 Bohr magnetons per cell. The total energy comes out at -38.74 eV/cell. The calculation puts the energy above the most stable polymorph in this dataset at 0.358 eV per atom. Its calculated formation energy is 1.152 eV/atom.

First-principles (PBE) data for KCuOs2 after structural relaxation, as listed in the Alexandria database.

a b c (Å): 2.857 4.654 10.196
angles (deg): 90.00 90.00 90.00
Space group Cmm2 (No. 35)
Inequivalent atoms, fractional coordinates:
1 K 0.000 0.000 0.000 x2
2 Cu 0.000 0.500 0.281 x2
3 Os 0.000 0.000 0.500 x2
4 Os 0.000 0.500 0.714 x2

Computed properties:
The value obtained for the magnetic moment is 0.0 Bohr magnetons per cell. The total energy comes out at -47.71 eV/cell. The calculation puts the energy above the most stable polymorph in this dataset at 0.254 eV per atom. Its calculated formation energy is 0.950 eV/atom.

First-principles (PBE) data for KCu3Os after structural relaxation, as listed in the Alexandria database.

a b c (Å): 4.522 4.522 4.522
angles (deg): 90.00 90.00 90.00
Space group Pm-3m (No. 221)
Inequivalent atoms, fractional coordinates:
1 K 0.000 0.000 0.000 x1
2 Cu 0.000 0.000 0.500 x3
3 Os 0.500 0.500 0.500 x1

Computed properties:
The value obtained for the magnetic moment is 1.1 Bohr magnetons per cell. The total energy comes out at -12.60 eV/cell. The calculation puts the energy above the most stable polymorph in this dataset at 1.441 eV per atom. Its calculated formation energy is 2.403 eV/atom.